{"formula": "VIO2", "functional": "PBE+U", "state": "relaxed", "lattice_angstrom": [[5.939, 0.000, 0.000], [0.000, 5.939, 0.000], [2.969, 2.969, 4.201]], "species": ["O", "I", "V", "V", "I", "O", "O", "O"], "fractional_positions": [[0.375, 0.625, 0.250], [0.750, 0.250, 0.500], [0.250, 0.750, 0.500], [0.500, 0.500, 0.000], [0.000, 0.000, 0.000], [0.875, 0.625, 0.750], [0.375, 0.625, 0.750], [0.375, 0.125, 0.250]], "energy_ev_per_atom": -5.915, "spacegroup": "No. 227", "crystal_system": "cubic"}